DFT (PBE) results for crystalline TbSc2Nb at its relaxed geometry.

Cell lengths 3.697, 3.697, 6.992 Å; angles 90.00, 90.00, 90.00 degrees
Atoms (fractional coordinates):
Sc 0.000 0.000 0.793
Sc 0.000 0.000 0.207
Nb 0.500 0.500 0.000
Tb 0.500 0.500 0.500

Properties
Distance to the lowest polymorph of the same formula = 0.00 eV per formula unit
Calculated volume = 23.89 A^3/atom
Total magnetic moment = 0.00 μB/f.u.
Formation enthalpy at 0 K = 0.60 eV per formula unit